This record from the Alexandria database describes an optimized crystal structure of U6Pt23. The functional is PBE.

a = 10.079 Å, b = 10.079 Å, c = 10.079 Å
α = 132.87°, β = 132.87°, γ = 68.86°
Fractional positions:
U 0.248 0.248 0.000
U 0.259 0.259 0.519
U 0.259 0.741 0.000
U 0.741 0.259 0.000
U 0.741 0.741 0.481
U 0.752 0.752 0.000
Pt 0.000 0.000 0.000
Pt 0.000 0.000 0.500
Pt 0.000 0.500 0.000
Pt 0.000 0.500 0.500
Pt 0.123 0.374 0.749
Pt 0.124 0.376 0.252
Pt 0.124 0.872 0.748
Pt 0.128 0.876 0.252
Pt 0.374 0.123 0.749
Pt 0.374 0.625 0.251
Pt 0.375 0.626 0.749
Pt 0.376 0.124 0.252
Pt 0.500 0.000 0.000
Pt 0.500 0.000 0.500
Pt 0.500 0.500 0.500
Pt 0.624 0.876 0.748
Pt 0.625 0.374 0.251
Pt 0.626 0.375 0.749
Pt 0.626 0.877 0.251
Pt 0.872 0.124 0.748
Pt 0.876 0.128 0.252
Pt 0.876 0.624 0.748
Pt 0.877 0.626 0.251

Output
As for the spin magnetization: 0.21 μB/atom.

=====

This record from the Alexandria database describes an optimized crystal structure of UPt. The functional is PBE.

a = 5.183 Å, b = 5.183 Å, c = 4.043 Å
α = 90.00°, β = 90.00°, γ = 129.06°
Fractional positions:
U 0.105 0.895 0.750
U 0.895 0.105 0.250
Pt 0.389 0.611 0.750
Pt 0.611 0.389 0.250

Output
As for the spin magnetization: 0.57 μB/atom.

=====

This record from the Alexandria database describes an optimized crystal structure of U6Pt. The functional is PBE.

a = 6.123 Å, b = 6.123 Å, c = 6.123 Å
α = 109.47°, β = 109.47°, γ = 109.47°
Fractional positions:
U 0.250 0.500 0.750
U 0.250 0.750 0.500
U 0.500 0.250 0.750
U 0.500 0.750 0.250
U 0.750 0.250 0.500
U 0.750 0.500 0.250
Pt 0.000 0.000 0.000

Output
As for the spin magnetization: 0.43 μB/atom.

=====

This record from the Alexandria database describes an optimized crystal structure of UPt7. The functional is PBE.

a = 8.466 Å, b = 8.466 Å, c = 8.466 Å
α = 151.92°, β = 151.92°, γ = 40.13°
Fractional positions:
U 0.000 0.000 0.000
Pt 0.125 0.625 0.500
Pt 0.254 0.254 0.000
Pt 0.375 0.875 0.500
Pt 0.500 0.500 0.000
Pt 0.625 0.125 0.500
Pt 0.746 0.746 0.000
Pt 0.875 0.375 0.500

Output
As for the spin magnetization: 0.08 μB/atom.

=====

This record from the Alexandria database describes an optimized crystal structure of UVPt6. The functional is PBE.

a = 4.060 Å, b = 4.060 Å, c = 8.036 Å
α = 90.00°, β = 90.00°, γ = 90.00°
Fractional positions:
U 0.000 0.000 0.000
V 0.000 0.000 0.500
Pt 0.000 0.500 0.262
Pt 0.000 0.500 0.738
Pt 0.500 0.000 0.262
Pt 0.500 0.000 0.738
Pt 0.500 0.500 0.000
Pt 0.500 0.500 0.500

Output
As for the spin magnetization: 0.39 μB/atom.

=====

This record from the Alexandria database describes an optimized crystal structure of UVPt. The functional is PBE.

a = 10.122 Å, b = 10.122 Å, c = 10.122 Å
α = 160.12°, β = 160.12°, γ = 28.26°
Fractional positions:
U 0.134 0.134 0.000
U 0.866 0.866 0.000
V 0.281 0.281 0.000
V 0.719 0.719 0.000
Pt 0.433 0.433 0.000
Pt 0.567 0.567 0.000

Output
As for the spin magnetization: 0.63 μB/atom. As for the distance to the lowest polymorph of the same formula: 0.0035 eV per atom.

=====

This record from the Alexandria database describes an optimized crystal structure of UVPt. The functional is PBE.

a = 4.583 Å, b = 4.583 Å, c = 2.816 Å
α = 90.00°, β = 90.00°, γ = 120.00°
Fractional positions:
U 0.000 0.000 0.000
V 0.333 0.667 0.163
Pt 0.667 0.333 0.607

Output
As for the spin magnetization: 0.56 μB/atom. As for the distance to the lowest polymorph of the same formula: 0.0000 eV per atom.

=====

This record from the Alexandria database describes an optimized crystal structure of YUPt2. The functional is PBE.

a = 5.072 Å, b = 5.072 Å, c = 3.313 Å
α = 90.00°, β = 90.00°, γ = 90.00°
Fractional positions:
Y 0.000 0.000 0.000
U 0.500 0.500 0.000
Pt 0.000 0.500 0.500
Pt 0.500 0.000 0.500

Output
As for the spin magnetization: 0.69 μB/atom.

=====

This record from the Alexandria database describes an optimized crystal structure of Y2U2Pt15. The functional is PBE.

a = 7.089 Å, b = 7.089 Å, c = 7.089 Å
α = 81.67°, β = 81.67°, γ = 81.67°
Fractional positions:
Y 0.141 0.141 0.141
Y 0.859 0.859 0.859
U 0.414 0.414 0.414
U 0.586 0.586 0.586
Pt 0.000 0.500 0.500
Pt 0.159 0.159 0.663
Pt 0.159 0.663 0.159
Pt 0.178 0.500 0.822
Pt 0.178 0.822 0.500
Pt 0.337 0.841 0.841
Pt 0.500 0.000 0.500
Pt 0.500 0.178 0.822
Pt 0.500 0.500 0.000
Pt 0.500 0.822 0.178
Pt 0.663 0.159 0.159
Pt 0.822 0.178 0.500
Pt 0.822 0.500 0.178
Pt 0.841 0.337 0.841
Pt 0.841 0.841 0.337

Output
As for the spin magnetization: 0.00 μB/atom.

=====

This record from the Alexandria database describes an optimized crystal structure of U2ZnPt9. The functional is PBE.

a = 4.119 Å, b = 4.119 Å, c = 12.050 Å
α = 90.00°, β = 90.00°, γ = 90.00°
Fractional positions:
U 0.000 0.000 0.176
U 0.000 0.000 0.824
Zn 0.000 0.000 0.500
Pt 0.000 0.500 0.000
Pt 0.000 0.500 0.341
Pt 0.000 0.500 0.659
Pt 0.500 0.000 0.000
Pt 0.500 0.000 0.341
Pt 0.500 0.000 0.659
Pt 0.500 0.500 0.172
Pt 0.500 0.500 0.500
Pt 0.500 0.500 0.828

Output
As for the spin magnetization: 0.21 μB/atom.

=====

This record from the Alexandria database describes an optimized crystal structure of UZn2Pt8. The functional is PBE.

a = 7.437 Å, b = 7.437 Å, c = 6.362 Å
α = 107.23°, β = 107.23°, γ = 32.24°
Fractional positions:
U 0.000 0.000 0.000
Zn 0.279 0.279 0.359
Zn 0.721 0.721 0.641
Pt 0.098 0.098 0.455
Pt 0.182 0.182 0.931
Pt 0.358 0.358 0.803
Pt 0.454 0.454 0.273
Pt 0.546 0.546 0.727
Pt 0.642 0.642 0.197
Pt 0.818 0.818 0.069
Pt 0.902 0.902 0.545

Output
As for the spin magnetization: 0.00 μB/atom.

=====

This record from the Alexandria database describes an optimized crystal structure of U2Zn15Pt2. The functional is PBE.

a = 6.788 Å, b = 6.788 Å, c = 6.788 Å
α = 83.06°, β = 83.06°, γ = 83.06°
Fractional positions:
U 0.161 0.161 0.161
U 0.839 0.839 0.839
Zn 0.000 0.500 0.500
Zn 0.146 0.146 0.658
Zn 0.146 0.658 0.146
Zn 0.213 0.500 0.787
Zn 0.213 0.787 0.500
Zn 0.342 0.854 0.854
Zn 0.500 0.000 0.500
Zn 0.500 0.213 0.787
Zn 0.500 0.500 0.000
Zn 0.500 0.787 0.213
Zn 0.658 0.146 0.146
Zn 0.787 0.213 0.500
Zn 0.787 0.500 0.213
Zn 0.854 0.342 0.854
Zn 0.854 0.854 0.342
Pt 0.382 0.382 0.382
Pt 0.618 0.618 0.618

Output
As for the spin magnetization: 0.27 μB/atom.

=====

This record from the Alexandria database describes an optimized crystal structure of UZnPt4. The functional is PBE.

a = 5.339 Å, b = 5.339 Å, c = 5.339 Å
α = 60.00°, β = 60.00°, γ = 60.00°
Fractional positions:
U 0.000 0.000 0.000
Zn 0.750 0.750 0.750
Pt 0.376 0.376 0.376
Pt 0.376 0.376 0.873
Pt 0.376 0.873 0.376
Pt 0.873 0.376 0.376

Output
As for the spin magnetization: 0.32 μB/atom. As for the distance to the lowest polymorph of the same formula: 0.0000 eV per atom.

=====

This record from the Alexandria database describes an optimized crystal structure of UZn12Pt6. The functional is PBE.

a = 7.166 Å, b = 7.166 Å, c = 7.166 Å
α = 104.79°, β = 104.79°, γ = 104.79°
Fractional positions:
U 0.000 0.000 0.000
Zn 0.110 0.500 0.890
Zn 0.110 0.890 0.500
Zn 0.140 0.392 0.392
Zn 0.392 0.140 0.392
Zn 0.392 0.392 0.140
Zn 0.500 0.110 0.890
Zn 0.500 0.890 0.110
Zn 0.608 0.608 0.860
Zn 0.608 0.860 0.608
Zn 0.860 0.608 0.608
Zn 0.890 0.110 0.500
Zn 0.890 0.500 0.110
Pt 0.278 0.278 0.711
Pt 0.278 0.711 0.278
Pt 0.289 0.722 0.722
Pt 0.711 0.278 0.278
Pt 0.722 0.289 0.722
Pt 0.722 0.722 0.289

Output
As for the spin magnetization: 0.15 μB/atom.

=====

This record from the Alexandria database describes an optimized crystal structure of U3Zn2Pt8. The functional is PBE.

a = 10.468 Å, b = 10.468 Å, c = 10.468 Å
α = 30.50°, β = 30.50°, γ = 30.50°
Fractional positions:
U 0.000 0.000 0.000
U 0.223 0.223 0.223
U 0.777 0.777 0.777
Zn 0.393 0.393 0.393
Zn 0.607 0.607 0.607
Pt 0.200 0.708 0.708
Pt 0.292 0.292 0.800
Pt 0.292 0.800 0.292
Pt 0.311 0.311 0.311
Pt 0.689 0.689 0.689
Pt 0.708 0.200 0.708
Pt 0.708 0.708 0.200
Pt 0.800 0.292 0.292

Output
As for the spin magnetization: 0.40 μB/atom.

=====

This record from the Alexandria database describes an optimized crystal structure of UZn4Pt15. The functional is PBE.

a = 3.992 Å, b = 3.992 Å, c = 19.739 Å
α = 90.00°, β = 90.00°, γ = 90.00°
Fractional positions:
U 0.000 0.000 0.000
Zn 0.000 0.000 0.210
Zn 0.000 0.000 0.402
Zn 0.000 0.000 0.598
Zn 0.000 0.000 0.790
Pt 0.000 0.500 0.105
Pt 0.000 0.500 0.305
Pt 0.000 0.500 0.500
Pt 0.000 0.500 0.695
Pt 0.000 0.500 0.895
Pt 0.500 0.000 0.105
Pt 0.500 0.000 0.305
Pt 0.500 0.000 0.500
Pt 0.500 0.000 0.695
Pt 0.500 0.000 0.895
Pt 0.500 0.500 0.000
Pt 0.500 0.500 0.206
Pt 0.500 0.500 0.403
Pt 0.500 0.500 0.597
Pt 0.500 0.500 0.794

Output
As for the spin magnetization: 0.02 μB/atom.

=====

This record from the Alexandria database describes an optimized crystal structure of UZnPt2. The functional is PBE.

a = 5.607 Å, b = 5.607 Å, c = 6.795 Å
α = 90.00°, β = 90.00°, γ = 136.78°
Fractional positions:
U 0.082 0.918 0.750
U 0.918 0.082 0.250
Zn 0.205 0.795 0.250
Zn 0.795 0.205 0.750
Pt 0.368 0.632 0.541
Pt 0.368 0.632 0.959
Pt 0.632 0.368 0.041
Pt 0.632 0.368 0.459

Output
As for the spin magnetization: 0.49 μB/atom.

=====

This record from the Alexandria database describes an optimized crystal structure of UZnPt6. The functional is PBE.

a = 5.692 Å, b = 5.692 Å, c = 4.087 Å
α = 90.00°, β = 90.00°, γ = 90.00°
Fractional positions:
U 0.000 0.000 0.000
Zn 0.500 0.500 0.000
Pt 0.000 0.500 0.000
Pt 0.250 0.250 0.500
Pt 0.250 0.750 0.500
Pt 0.500 0.000 0.000
Pt 0.750 0.250 0.500
Pt 0.750 0.750 0.500

Output
As for the spin magnetization: 0.04 μB/atom.

=====

This record from the Alexandria database describes an optimized crystal structure of UZnPt2. The functional is PBE.

a = 3.227 Å, b = 3.227 Å, c = 6.752 Å
α = 90.00°, β = 90.00°, γ = 90.00°
Fractional positions:
U 0.000 0.000 0.000
Zn 0.000 0.000 0.500
Pt 0.500 0.500 0.278
Pt 0.500 0.500 0.722

Output
As for the spin magnetization: 0.30 μB/atom.

=====

This record from the Alexandria database describes an optimized crystal structure of UZn2Pt2. The functional is PBE.

a = 6.932 Å, b = 6.932 Å, c = 6.932 Å
α = 148.14°, β = 148.14°, γ = 45.68°
Fractional positions:
U 0.000 0.000 0.000
Zn 0.250 0.750 0.500
Zn 0.750 0.250 0.500
Pt 0.395 0.395 0.000
Pt 0.605 0.605 0.000

Output
As for the spin magnetization: 0.49 μB/atom.

=====

no.,ΔE_f (eV per atom),DFT total energy (eV/atom)
1,-0.4998,-7.63
2,-0.5131,-9.18
3,1.2434,-9.30
4,-0.4039,-7.10
5,-0.5562,-7.64
6,-0.0342,-8.85
7,-0.0377,-8.85
8,-0.8202,-8.28
9,-0.6302,-7.27
10,-0.6366,-7.15
11,-0.4803,-6.13
12,-0.1639,-2.99
13,-0.5758,-6.70
14,-0.2826,-3.59
15,-0.4062,-6.92
16,-0.4269,-5.78
17,-0.5737,-6.73
18,-0.6049,-6.71
19,-0.5931,-6.75
20,-0.5072,-5.69